[1]
! KSrRe, single point on PBEsol structure, DFT SCAN; values from VASP
! E_form   2.04 eV/atom
&SYSTEM
  ibrav = 0, nat = 3, ntyp = 3
/
ATOMIC_SPECIES
K 39.10 K.upf
Re 186.21 Re.upf
Sr 87.62 Sr.upf
CELL_PARAMETERS angstrom
5.119 0.000 0.000
2.560 4.433 0.000
2.560 1.478 4.180
ATOMIC_POSITIONS crystal
K 0.250 0.250 0.250
Re 0.000 0.000 0.000
Sr 0.500 0.500 0.500

[2]
! K2SrRe, single point on PBEsol structure, DFT SCAN; values from VASP
! Relative energy among the computed polymorphs   197 meV per atom
! E_form   1.48 eV/atom
&SYSTEM
  ibrav = 0, nat = 4, ntyp = 3
/
ATOMIC_SPECIES
K 39.10 K.upf
Re 186.21 Re.upf
Sr 87.62 Sr.upf
CELL_PARAMETERS angstrom
-3.910 3.982 1.534
-4.020 1.720 -3.793
-5.533 -1.520 0.759
ATOMIC_POSITIONS crystal
K 0.250 0.250 0.250
K 0.750 0.750 0.750
Re 0.000 0.000 0.000
Sr 0.500 0.500 0.500

[3]
! KSrRe2, single point on PBEsol structure, DFT SCAN; values from VASP
! Relative energy among the computed polymorphs   0 meV per atom
! E_form   0.60 eV/atom
&SYSTEM
  ibrav = 0, nat = 4, ntyp = 3
/
ATOMIC_SPECIES
K 39.10 K.upf
Re 186.21 Re.upf
Sr 87.62 Sr.upf
CELL_PARAMETERS angstrom
-1.509 3.802 0.706
-1.542 2.237 -3.139
-9.256 -1.538 0.707
ATOMIC_POSITIONS crystal
K 0.280 0.280 0.159
Re 0.037 0.037 0.888
Re 0.715 0.715 0.856
Sr 0.458 0.458 0.627

[4]
! KSrRe2, single point on PBEsol structure, DFT SCAN; values from VASP
! Relative energy among the computed polymorphs   1788 meV per atom
! E_form   2.39 eV/atom
&SYSTEM
  ibrav = 0, nat = 4, ntyp = 3
/
ATOMIC_SPECIES
K 39.10 K.upf
Re 186.21 Re.upf
Sr 87.62 Sr.upf
CELL_PARAMETERS angstrom
-3.949 -2.931 1.460
-0.172 -1.882 4.769
-3.438 1.811 3.350
ATOMIC_POSITIONS crystal
K 0.000 0.000 0.000
Re 0.250 0.250 0.250
Re 0.750 0.750 0.750
Sr 0.500 0.500 0.500

[5]
! K2SrRe, single point on PBEsol structure, DFT SCAN; values from VASP
! Relative energy among the computed polymorphs   0 meV per atom
! E_form   1.29 eV/atom
&SYSTEM
  ibrav = 0, nat = 4, ntyp = 3
/
ATOMIC_SPECIES
K 39.10 K.upf
Re 186.21 Re.upf
Sr 87.62 Sr.upf
CELL_PARAMETERS angstrom
-0.479 -2.408 1.658
-1.491 -1.279 -4.937
8.716 -2.771 -1.504
ATOMIC_POSITIONS crystal
K 0.000 0.001 0.057
K 0.237 0.475 0.686
Re 0.498 0.996 0.436
Sr 0.764 0.528 0.322

[6]
! KSrRe2, single point on PBEsol structure, DFT SCAN; values from VASP
! Relative energy among the computed polymorphs   339 meV per atom
! E_form   0.94 eV/atom
&SYSTEM
  ibrav = 0, nat = 4, ntyp = 3
/
ATOMIC_SPECIES
K 39.10 K.upf
Re 186.21 Re.upf
Sr 87.62 Sr.upf
CELL_PARAMETERS angstrom
3.670 0.000 0.000
0.000 5.598 0.000
-1.835 -2.799 5.267
ATOMIC_POSITIONS crystal
K 0.274 0.774 0.548
Re 0.052 0.052 0.105
Re 0.687 0.187 0.375
Sr 0.486 0.486 0.972

[7]
! KTa4Re, single point on PBEsol structure, DFT SCAN; values from VASP
! E_form   1.19 eV/atom
&SYSTEM
  ibrav = 0, nat = 6, ntyp = 3
/
ATOMIC_SPECIES
K 39.10 K.upf
Re 186.21 Re.upf
Ta 180.95 Ta.upf
CELL_PARAMETERS angstrom
-4.510 2.975 -0.761
-4.794 -1.776 1.906
-2.355 2.516 4.230
ATOMIC_POSITIONS crystal
K 0.750 0.750 0.750
Re 0.000 0.000 0.000
Ta 0.374 0.374 0.374
Ta 0.374 0.374 0.877
Ta 0.877 0.374 0.374
Ta 0.374 0.877 0.374

[8]
! KTaRe2, single point on PBEsol structure, DFT SCAN; values from VASP
! Relative energy among the computed polymorphs   254 meV per atom
! E_form   0.81 eV/atom
&SYSTEM
  ibrav = 0, nat = 4, ntyp = 3
/
ATOMIC_SPECIES
K 39.10 K.upf
Re 186.21 Re.upf
Ta 180.95 Ta.upf
CELL_PARAMETERS angstrom
-2.424 -1.306 0.399
-1.217 -1.348 -2.107
4.058 -9.845 2.116
ATOMIC_POSITIONS crystal
K 0.000 0.000 0.000
Re 0.240 0.240 0.279
Re 0.760 0.760 0.721
Ta 0.500 0.500 0.500

[9]
! KTaRe2, single point on PBEsol structure, DFT SCAN; values from VASP
! Relative energy among the computed polymorphs   0 meV per atom
! E_form   0.55 eV/atom
&SYSTEM
  ibrav = 0, nat = 4, ntyp = 3
/
ATOMIC_SPECIES
K 39.10 K.upf
Re 186.21 Re.upf
Ta 180.95 Ta.upf
CELL_PARAMETERS angstrom
-1.043 0.772 2.426
-0.696 -2.604 -0.551
8.471 -3.256 4.680
ATOMIC_POSITIONS crystal
K 0.500 0.500 0.000
Re 0.000 0.000 0.289
Re 0.000 0.000 0.711
Ta 0.500 0.500 0.500

[10]
! KTaRe3, single point on PBEsol structure, DFT SCAN; values from VASP
! E_form   3.60 eV/atom
&SYSTEM
  ibrav = 0, nat = 5, ntyp = 3
/
ATOMIC_SPECIES
Re 186.21 Re.upf
K 39.10 K.upf
Ta 180.95 Ta.upf
CELL_PARAMETERS angstrom
-2.813 -0.060 -3.378
-3.308 -0.842 2.770
-0.685 4.314 0.494
ATOMIC_POSITIONS crystal
Re 0.000 0.500 0.000
Re 0.000 0.000 0.500
Re 0.500 0.000 0.000
K 0.000 0.000 0.000
Ta 0.500 0.500 0.500

[11]
! KReTc3, single point on PBEsol structure, DFT SCAN; values from VASP
! E_form   1.57 eV/atom
&SYSTEM
  ibrav = 0, nat = 5, ntyp = 3
/
ATOMIC_SPECIES
Re 186.21 Re.upf
K 39.10 K.upf
Tc 98.00 Tc.upf
CELL_PARAMETERS angstrom
4.753 0.000 0.000
0.000 4.753 0.000
0.000 0.000 4.753
ATOMIC_POSITIONS crystal
Re 0.000 0.000 0.000
K 0.500 0.500 0.500
Tc 0.000 0.500 0.000
Tc 0.000 0.000 0.500
Tc 0.500 0.000 0.000

[12]
! K2ReTc, single point on PBEsol structure, DFT SCAN; values from VASP
! Relative energy among the computed polymorphs   0 meV per atom
! E_form   0.79 eV/atom
&SYSTEM
  ibrav = 0, nat = 4, ntyp = 3
/
ATOMIC_SPECIES
K 39.10 K.upf
Re 186.21 Re.upf
Tc 98.00 Tc.upf
CELL_PARAMETERS angstrom
-1.406 2.284 -1.696
-2.808 -0.813 1.233
1.531 6.924 8.055
ATOMIC_POSITIONS crystal
K 0.000 0.000 0.922
K 0.500 0.500 0.329
Re 0.000 0.000 0.573
Tc 0.500 0.500 0.677

[13]
! K2ReTc, single point on PBEsol structure, DFT SCAN; values from VASP
! Relative energy among the computed polymorphs   563 meV per atom
! E_form   1.35 eV/atom
&SYSTEM
  ibrav = 0, nat = 4, ntyp = 3
/
ATOMIC_SPECIES
K 39.10 K.upf
Re 186.21 Re.upf
Tc 98.00 Tc.upf
CELL_PARAMETERS angstrom
-2.139 -1.673 -0.409
0.276 -2.216 -1.599
2.581 -7.694 8.752
ATOMIC_POSITIONS crystal
K 0.250 0.250 0.249
K 0.750 0.750 0.751
Re 0.500 0.500 0.500
Tc 0.000 0.000 0.000

[14]
! K2ReTe, single point on PBEsol structure, DFT SCAN; values from VASP
! Energy relative to the elements, uncorrected   3.11 eV per formula unit
&SYSTEM
  ibrav = 0, nat = 4, ntyp = 3
/
ATOMIC_SPECIES
K 39.10 K.upf
Re 186.21 Re.upf
Te 127.60 Te.upf
CELL_PARAMETERS angstrom
-2.335 -1.818 -0.260
0.081 -0.459 2.934
-6.855 8.585 1.533
ATOMIC_POSITIONS crystal
K 0.000 0.000 0.757
K 0.000 0.000 0.243
Re 0.500 0.500 0.000
Te 0.500 0.500 0.500

[15]
! K2ReTe2, single point on PBEsol structure, DFT SCAN; values from VASP
! Energy relative to the elements, uncorrected   4.40 eV per formula unit
&SYSTEM
  ibrav = 0, nat = 5, ntyp = 3
/
ATOMIC_SPECIES
Re 186.21 Re.upf
K 39.10 K.upf
Te 127.60 Te.upf
CELL_PARAMETERS angstrom
-2.974 2.660 1.801
0.181 -2.311 3.713
8.342 5.451 0.405
ATOMIC_POSITIONS crystal
Re 0.000 0.000 0.000
K 0.395 0.395 0.790
K 0.605 0.605 0.210
Te 0.250 0.750 0.500
Te 0.750 0.250 0.500

[16]
! K2ReTe, single point on PBEsol structure, DFT SCAN; values from VASP
! Energy relative to the elements, uncorrected   3.49 eV per formula unit
&SYSTEM
  ibrav = 0, nat = 4, ntyp = 3
/
ATOMIC_SPECIES
K 39.10 K.upf
Re 186.21 Re.upf
Te 127.60 Te.upf
CELL_PARAMETERS angstrom
-1.011 4.024 -0.804
-0.219 -0.880 -4.128
-4.687 -2.795 3.007
ATOMIC_POSITIONS crystal
K 0.750 0.250 0.500
K 0.250 0.750 0.500
Re 0.000 0.000 0.000
Te 0.500 0.500 0.000

Number 1: M_tot 2.431 μB/f.u., density of states at the Fermi level 0.4538 states/eV/atom. Number 2: M_tot 2.839 μB/f.u., density of states at the Fermi level 0.5495 states/eV/atom. Number 3: M_tot 0.019 μB/f.u., density of states at the Fermi level 0.5652 states/eV/atom. Number 4: M_tot 5.755 μB/f.u., density of states at the Fermi level 0.5066 states/eV/atom. Number 5: M_tot 0.960 μB/f.u., density of states at the Fermi level 0.8278 states/eV/atom. Number 6: M_tot 0.000 μB/f.u., density of states at the Fermi level 0.9772 states/eV/atom. Number 7: M_tot 0.000 μB/f.u., density of states at the Fermi level 1.2575 states/eV/atom. Number 8: M_tot 0.000 μB/f.u., density of states at the Fermi level 1.0526 states/eV/atom. Number 9: M_tot 0.000 μB/f.u., density of states at the Fermi level 0.6605 states/eV/atom. Number 10: M_tot 0.000 μB/f.u., density of states at the Fermi level 0.7065 states/eV/atom. Number 11: M_tot 2.951 μB/f.u., density of states at the Fermi level 0.8639 states/eV/atom. Number 12: M_tot 0.077 μB/f.u., density of states at the Fermi level 1.1451 states/eV/atom. Number 13: M_tot 0.000 μB/f.u., density of states at the Fermi level 0.6820 states/eV/atom. Number 14: M_tot 0.000 μB/f.u., density of states at the Fermi level 0.4433 states/eV/atom. Number 15: M_tot 4.097 μB/f.u., density of states at the Fermi level 0.6978 states/eV/atom. Number 16: M_tot 2.402 μB/f.u., density of states at the Fermi level 0.6898 states/eV/atom.